Record 1
ReAs2Br: relaxed, PBE.

a b c (Å): 3.1096 4.9734 11.0343
angles (deg): 90.00 90.00 90.00
Last column: nearest neighbours and their distance in Å.
Space group Cmmm (No. 65)
One atom of each set of equivalent atoms:
Re 0.0000 0.0000 0.0000 (multiplicity 2)  4 As 2.56
As 0.0000 0.5000 0.1839 (multiplicity 4)  2 Re 2.56
Br 0.0000 0.0000 0.5000 (multiplicity 2)  6 Br 2.93-3.11

Results
The uncorrected energy is -43.88 eV per cell. As for the spin magnetization: 0.000 μB/f.u. The calculation puts the uncorrected formation energy at 370.1 meV/atom. The value obtained for the volume is 85 Å³/f.u.

=====

Record 2
InSiB3: relaxed, PBE.

a b c (Å): 4.4658 4.4658 4.4658
angles (deg): 90.00 90.00 90.00
Last column: nearest neighbours and their distance in Å.
Space group Pm-3m (No. 221)
One atom of each set of equivalent atoms:
In 0.0000 0.0000 0.0000 (multiplicity 1)  6 B 2.23
Si 0.5000 0.5000 0.5000 (multiplicity 1)  12 B 3.16
B 0.0000 0.0000 0.5000 (multiplicity 3)  2 In 2.23

Results
The uncorrected energy is -15.79 eV per cell. As for the spin magnetization: 0.000 μB/f.u. The calculation puts the uncorrected formation energy at 2480.4 meV/atom. The value obtained for the volume is 89 Å³/f.u.

=====

Record 3
Pm3HoBi2: relaxed, PBE.

a b c (Å): 4.6186 4.6186 8.8788
angles (deg): 90.00 90.00 90.00
Last column: nearest neighbours and their distance in Å.
Space group P-4m2 (No. 115)
One atom of each set of equivalent atoms:
Pm 0.0000 0.0000 0.0000 (multiplicity 1)  4 Ho 3.27, 4 Bi 3.39
Pm 0.0000 0.5000 0.6494 (multiplicity 2)  5 Bi 3.29-3.33
Ho 0.5000 0.5000 0.0000 (multiplicity 1)  4 Pm 3.27, 4 Bi 3.39
Bi 0.0000 0.5000 0.2791 (multiplicity 2)  7 Pm 3.29-3.39, 2 Ho 3.39

Results
The formation energy from the elements is -0.64 eV/atom. The uncorrected energy is -30.45 eV per cell. As for the spin magnetization: 0.000 μB/f.u. The value obtained for the volume is 189 Å³/f.u.

=====

Record 4
Rb2CaSeI6: relaxed, PBE.

a b c (Å): 8.3818 8.3818 13.9084
angles (deg): 90.00 90.00 90.00
Last column: nearest neighbours and their distance in Å.
Space group I4/mmm (No. 139)
One atom of each set of equivalent atoms:
Rb 0.0000 0.5000 0.2500 (multiplicity 4)  12 I 4.21-4.57
Ca 0.0000 0.0000 0.0000 (multiplicity 2)  6 I 3.03-3.14
Se 0.0000 0.0000 0.5000 (multiplicity 2)  4 I 2.78
I 0.0000 0.0000 0.2181 (multiplicity 4)  1 Ca 3.03
I 0.2347 0.2347 0.5000 (multiplicity 8)  1 Se 2.78

Results
The uncorrected energy is -52.43 eV per cell. As for the spin magnetization: 0.000 μB/f.u. The calculation puts the uncorrected formation energy at -949.2 meV/atom. The value obtained for the volume is 489 Å³/f.u.